1.
VASP calculation (PBE-GGA) on ScTl2Pt after structural relaxation.

The structure in CIF format:
```
data_ScTl2Pt
_space_group_name_H-M_alt 'C 1 2/m 1'
_space_group_IT_number 12
_space_group_name_Hall '-C 2y'
_cell_length_a 9.6603
_cell_length_b 3.6686
_cell_length_c 5.2365
_cell_angle_alpha 90.00
_cell_angle_beta 109.32
_cell_angle_gamma 90.00
loop_
_atom_site_label
_atom_site_type_symbol
_atom_site_fract_x
_atom_site_fract_y
_atom_site_fract_z
Sc1 Sc 0.0000 0.0000 0.0000
Tl1 Tl 0.2375 0.0000 0.7330
Pt1 Pt 0.0000 0.5000 0.5000
```

Total DFT energy (no corrections) in eV per formula unit: -17.988

2.
VASP calculation (PBE-GGA) on YHoCo after structural relaxation.

The structure in CIF format:
```
data_YHoCo
_space_group_name_H-M_alt 'I 4 m m'
_space_group_IT_number 107
_space_group_name_Hall 'I 4 -2'
_cell_length_a 3.3673
_cell_length_b 3.3673
_cell_length_c 12.6069
_cell_angle_alpha 90.00
_cell_angle_beta 90.00
_cell_angle_gamma 90.00
loop_
_atom_site_label
_atom_site_type_symbol
_atom_site_fract_x
_atom_site_fract_y
_atom_site_fract_z
Y1 Y 0.0000 0.0000 0.0000
Ho1 Ho 0.0000 0.0000 0.2568
Co1 Co 0.0000 0.0000 0.6308
```

E above lowest polymorph in eV per atom: 0.0199
Total DFT energy (no corrections) in eV per formula unit: -18.502

3.
VASP calculation (PBE-GGA) on Sr2MnFe after structural relaxation.

The structure in CIF format:
```
data_Sr2MnFe
_space_group_name_H-M_alt 'I m m 2'
_space_group_IT_number 44
_space_group_name_Hall 'I 2 -2'
_cell_length_a 4.0446
_cell_length_b 5.6333
_cell_length_c 9.2528
_cell_angle_alpha 90.00
_cell_angle_beta 90.00
_cell_angle_gamma 90.00
loop_
_atom_site_label
_atom_site_type_symbol
_atom_site_fract_x
_atom_site_fract_y
_atom_site_fract_z
Sr1 Sr 0.0000 0.0000 0.0000
Sr2 Sr 0.0000 0.5000 0.1794
Mn1 Mn 0.0000 0.0000 0.3795
Fe1 Fe 0.0000 0.5000 0.8002
```

E above lowest polymorph in eV per atom: 0.2379
Total DFT energy (no corrections) in eV per formula unit: -18.591

Across the entries above, V takes the values 21.891, 23.824, 26.352 Å³ per atom, respectively.
Across the entries above, DFT formation energy takes the values -0.221, -0.118, 0.601 eV per atom, respectively.